Entry 1:
Compound: BiSb3Cl
Source: the Alexandria database
Functional: PBE
Structure: optimized geometry

```
5
Lattice="5.384 0.000 0.000 0.000 5.384 0.000 0.000 0.000 5.384" Properties=species:S:1:pos:R:3 pbc="T T T"
Bi 0.000 0.000 0.000
Sb 0.000 2.692 2.692
Sb 2.692 0.000 2.692
Sb 2.692 2.692 0.000
Cl 2.692 2.692 2.692
```

Raw formation energy: 63.4 kJ per mole of atoms
SG: Pm-3m (221)
Size of the total moment: 0.0000 μB/atom
Relative energy among the computed polymorphs: 0.0 meV/atom
Theoretical density: 6.489 g/cm3
Calculated volume: 156.0 Å³ per cell



Entry 2:
Compound: TaPdF2
Source: the Alexandria database
Functional: PBE
Structure: optimized geometry

```
16
Lattice="7.419 0.000 0.000 0.000 7.419 0.000 0.000 0.000 5.169" Properties=species:S:1:pos:R:3 pbc="T T T"
Ta 0.000 0.000 0.000
Ta 0.000 3.709 1.292
Ta 3.709 0.000 3.877
Ta 3.709 3.709 2.584
Pd 0.000 0.000 2.584
Pd 0.000 3.709 3.877
Pd 3.709 0.000 1.292
Pd 3.709 3.709 0.000
F 0.696 5.564 0.646
F 1.855 0.696 4.523
F 1.855 3.013 1.938
F 3.013 5.564 3.230
F 4.405 1.855 3.230
F 5.564 4.405 1.938
F 5.564 6.723 4.523
F 6.723 1.855 0.646
```

Raw formation energy: -88.4 kJ per mole of atoms
SG: I-42d (122)
Size of the total moment: 0.2547 μB/atom
Relative energy among the computed polymorphs: 236.7 meV/atom
Theoretical density: 7.597 g/cm3
Calculated volume: 284.5 Å³ per cell



Entry 3:
Compound: Zn2Bi3
Source: the Alexandria database
Functional: PBE
Structure: optimized geometry

```
10
Lattice="3.991 2.304 4.992 -3.991 2.304 4.992 0.000 -4.608 4.992" Properties=species:S:1:pos:R:3 pbc="T T T"
Zn 0.000 0.000 2.410
Zn 0.000 0.000 5.078
Zn 0.000 0.000 9.899
Zn 0.000 0.000 12.567
Bi -2.614 0.080 6.240
Bi -1.376 -2.224 8.737
Bi 1.238 -2.304 6.240
Bi -1.238 2.304 8.737
Bi 1.376 2.224 6.240
Bi 2.614 -0.080 8.737
```

SG: R-3c (167)
Size of the total moment: 0.0000 μB/atom
Formation energy: 0.147 eV/atom
Theoretical density: 9.137 g/cm3
Calculated volume: 275.4 Å³ per cell



Entry 4:
Compound: EuDy2Tm
Source: the Alexandria database
Functional: PBE
Structure: optimized geometry

```
4
Lattice="3.580 0.000 0.000 0.000 3.580 0.000 0.000 0.000 10.277" Properties=species:S:1:pos:R:3 pbc="T T T"
Eu 0.000 0.000 0.000
Dy 1.790 1.790 2.743
Dy 1.790 1.790 7.534
Tm 0.000 0.000 5.138
```

SG: P4/mmm (123)
Size of the total moment: 1.8458 μB/atom
Relative energy among the computed polymorphs: 0.0 meV/atom
Formation energy: 0.059 eV/atom
Theoretical density: 8.145 g/cm3
Calculated volume: 131.7 Å³ per cell



Entry 5:
Compound: Sm2PCl3
Source: the Alexandria database
Functional: PBE
Structure: optimized geometry

```
12
Lattice="8.283 -2.156 0.000 8.283 2.156 0.000 -7.063 0.000 10.443" Properties=species:S:1:pos:R:3 pbc="T T T"
Sm -1.432 0.000 4.770
Sm 4.752 0.000 1.851
Sm 4.750 0.000 8.593
Sm 10.934 0.000 5.673
P -3.148 0.000 6.959
P 12.650 0.000 3.485
Cl 2.638 0.000 0.035
Cl 1.519 0.000 4.216
Cl 2.185 0.000 7.582
Cl 7.317 0.000 2.861
Cl 7.983 0.000 6.228
Cl 6.864 0.000 10.409
```

Raw formation energy: -184.5 kJ per mole of atoms
SG: C2/m (12)
Size of the total moment: 0.0000 μB/atom
Theoretical density: 3.900 g/cm3
Calculated volume: 373.0 Å³ per cell



Entry 6:
Compound: Hg7C5
Source: the Alexandria database
Functional: PBE
Structure: optimized geometry

```
12
Lattice="-3.629 3.629 5.526 3.629 -3.629 5.526 3.629 3.629 -5.526" Properties=species:S:1:pos:R:3 pbc="T T T"
Hg 0.000 0.000 0.000
Hg 3.629 0.000 0.744
Hg 3.629 -1.440 3.481
Hg 3.629 1.440 3.481
Hg 0.000 3.629 0.744
Hg -1.440 3.629 3.481
Hg 1.440 3.629 3.481
C 0.000 0.000 2.143
C 2.878 2.878 -2.192
C 0.751 -0.751 3.334
C -0.751 0.751 3.334
C 0.751 0.751 3.334
```

SG: I4mm (107)
Size of the total moment: 0.0000 μB/atom
Formation energy: 1.095 eV/atom
Theoretical density: 8.351 g/cm3
Calculated volume: 291.1 Å³ per cell



Entry 7:
Compound: LaCdSn2Pd4
Source: the Alexandria database
Functional: PBE
Structure: optimized geometry

```
8
Lattice="2.298 1.327 8.922 -2.298 1.327 8.922 0.000 -2.653 8.922" Properties=species:S:1:pos:R:3 pbc="T T T"
La 0.000 0.000 0.000
Cd 0.000 0.000 13.384
Sn 0.000 0.000 6.507
Sn 0.000 0.000 20.260
Pd 0.000 0.000 3.518
Pd 0.000 0.000 10.646
Pd 0.000 0.000 16.121
Pd 0.000 0.000 23.249
```

SG: R-3m (166)
Size of the total moment: 0.0000 μB/atom
Formation energy: -0.616 eV/atom
Theoretical density: 9.304 g/cm3
Calculated volume: 163.2 Å³ per cell



Entry 8:
Compound: Rb4Ce3CoSe8
Source: the Alexandria database
Functional: PBE
Structure: optimized geometry

```
16
Lattice="4.275 2.468 7.944 -4.275 2.468 7.944 0.000 -4.937 7.944" Properties=species:S:1:pos:R:3 pbc="T T T"
Rb 0.000 0.000 0.000
Rb -2.138 -1.234 7.944
Rb -2.138 1.234 15.887
Rb 0.000 2.468 7.944
Ce -4.275 0.000 11.916
Ce -2.138 1.234 3.972
Ce 2.138 1.234 3.972
Co 0.000 0.000 11.916
Se 0.000 0.000 5.576
Se -2.055 -1.186 13.415
Se 0.000 -2.373 10.416
Se -2.055 1.186 10.416
Se 2.055 -1.186 13.415
Se 0.000 2.373 13.415
Se 2.055 1.186 10.416
Se 0.000 0.000 18.255
```

Raw formation energy: -129.0 kJ per mole of atoms
SG: R-3m (166)
Size of the total moment: 0.2653 μB/atom
Theoretical density: 4.796 g/cm3
Calculated volume: 503.0 Å³ per cell



Entry 9:
Compound: PmTm2Sb
Source: the Alexandria database
Functional: PBE
Structure: optimized geometry

```
12
Lattice="3.978 0.000 0.000 -1.989 3.445 0.000 0.000 0.000 28.492" Properties=species:S:1:pos:R:3 pbc="T T T"
Pm 0.000 0.000 0.000
Pm 0.000 2.297 18.995
Pm 1.989 1.148 9.497
Tm 0.000 0.000 6.682
Tm 0.000 0.000 12.360
Tm 0.000 2.297 2.863
Tm 0.000 2.297 25.677
Tm 1.989 1.148 16.180
Tm 1.989 1.148 21.857
Sb 0.000 0.000 23.780
Sb 0.000 2.297 14.283
Sb 1.989 1.148 4.785
```

Raw formation energy: -29.4 kJ per mole of atoms
SG: R3m (160)
Size of the total moment: 0.1450 μB/atom
Relative energy among the computed polymorphs: 290.9 meV/atom
Theoretical density: 7.714 g/cm3
Calculated volume: 390.4 Å³ per cell



Entry 10:
Compound: NpUTlS4
Source: the Alexandria database
Functional: PBE
Structure: optimized geometry

```
14
Lattice="-4.162 4.210 5.928 4.162 -4.210 5.928 4.162 4.210 -5.928" Properties=species:S:1:pos:R:3 pbc="T T T"
Np 0.000 0.000 0.000
Np 0.000 4.210 0.000
U -2.081 2.105 2.964
U 2.081 2.105 2.964
Tl 4.162 2.105 -1.481
Tl 0.000 2.105 7.410
S 1.775 2.105 0.263
S 2.387 -2.105 6.191
S 0.000 0.348 2.752
S 4.162 0.348 3.176
S 0.000 3.862 2.752
S 4.162 3.862 3.176
S 1.775 6.315 -0.263
S 2.387 2.105 5.666
```

Raw formation energy: -109.3 kJ per mole of atoms
SG: Imma (74)
Size of the total moment: 0.8571 μB/atom
Theoretical density: 6.456 g/cm3
Calculated volume: 415.5 Å³ per cell



Entry 11:
Compound: Co2HIrAu
Source: the Alexandria database
Functional: PBE
Structure: optimized geometry

```
5
Lattice="3.898 0.000 0.000 0.000 3.898 0.000 0.000 0.000 3.776" Properties=species:S:1:pos:R:3 pbc="T T T"
Co 0.000 1.949 0.000
Co 1.949 0.000 0.000
H 0.000 0.000 0.000
Ir 0.000 0.000 1.888
Au 1.949 1.949 1.888
```

SG: P4/mmm (123)
Size of the total moment: 0.8895 μB/atom
Theoretical density: 14.704 g/cm3
Calculated volume: 57.4 Å³ per cell



Entry 12:
Compound: Y2NiBr
Source: the Alexandria database
Functional: PBE
Structure: optimized geometry

```
8
Lattice="4.391 0.000 0.000 0.000 3.671 0.000 0.000 0.000 11.383" Properties=species:S:1:pos:R:3 pbc="T T T"
Y 0.000 0.000 0.000
Y 0.000 1.835 5.692
Y 2.195 0.000 3.100
Y 2.195 1.835 8.791
Ni 2.195 0.000 5.809
Ni 2.195 1.835 0.118
Br 0.000 0.000 8.344
Br 0.000 1.835 2.652
```

Raw formation energy: -49.5 kJ per mole of atoms
SG: Amm2 (38)
Size of the total moment: 0.0000 μB/atom
Relative energy among the computed polymorphs: 290.5 meV/atom
Theoretical density: 5.727 g/cm3
Calculated volume: 183.5 Å³ per cell



Number 1: electronic total energy -2.96 eV/atom. Number 2: electronic total energy -6.11 eV/atom. Number 3: electronic total energy -2.69 eV/atom. Number 4: electronic total energy -5.93 eV/atom. Number 5: electronic total energy -5.31 eV/atom. Number 6: electronic total energy -2.92 eV/atom. Number 7: electronic total energy -4.94 eV/atom. Number 8: electronic total energy -4.88 eV/atom. Number 9: electronic total energy -4.76 eV/atom. Number 10: electronic total energy -7.29 eV/atom. Number 11: electronic total energy -5.75 eV/atom. Number 12: electronic total energy -5.61 eV/atom.